Hf3TiCo2 GGA-PBE relaxed; energy of formation from the pure elements = -0.239 eV per atom; offset from the most stable computed form = 0.00 eV per formula unit; space-group type = P2_1/c, No. 14; total magnetic moment = 0.00 μB/cell
1.0
6.916 0.000 0.000
0.000 8.072 0.000
-6.336 0.000 7.507
Hf Ti Co
12 4 8
direct
0.083 0.208 0.185 Hf
0.083 0.292 0.685 Hf
0.277 0.011 0.542 Hf
0.277 0.489 0.042 Hf
0.354 0.093 0.056 Hf
0.354 0.407 0.556 Hf
0.646 0.593 0.444 Hf
0.646 0.907 0.944 Hf
0.723 0.511 0.958 Hf
0.723 0.989 0.458 Hf
0.917 0.708 0.315 Hf
0.917 0.792 0.815 Hf
0.209 0.679 0.704 Ti
0.209 0.821 0.204 Ti
0.791 0.179 0.796 Ti
0.791 0.321 0.296 Ti
0.164 0.525 0.258 Co
0.164 0.975 0.758 Co
0.434 0.714 0.582 Co
0.434 0.786 0.082 Co
0.566 0.214 0.918 Co
0.566 0.286 0.418 Co
0.836 0.025 0.242 Co
0.836 0.475 0.742 Co